Record 1
DFT (GGA-PBE) results for crystalline FeNi2Br at its relaxed geometry.

Properties
Energy relative to the lowest polymorph listed for this composition, eV/atom: 0.1325
Formation energy (no corrections), kJ/mol of formula units: 157
SG: P4mm, No. 99

Lattice parameters (Å, degrees): 3.1247 3.1247 6.0552 90.00 90.00 90.00
Last column: nearest neighbours and their distance in Å.
Element x y z (fractional)
Br (0.0000, 0.0000, 0.4935)  6 Ni 2.83-3.03, 4 Fe 2.93, 4 Br 3.12
Fe (0.5000, 0.5000, 0.8112)  5 Ni 2.36-2.47
Ni (0.0000, 0.0000, 0.9946)  4 Fe 2.47, 4 Ni 2.54
Ni (0.5000, 0.5000, 0.2008)  1 Fe 2.36, 4 Ni 2.54

Record 2
DFT (GGA-PBE) results for crystalline BPd2PbW at its relaxed geometry.

Properties
SG: P4/mmm, No. 123
E_form, eV per atom: 0.8480

Lattice parameters (Å, degrees): 4.1015 5.0799 4.1015 90.00 90.00 90.00
Last column: nearest neighbours and their distance in Å.
Element x y z (fractional)
Pb (0.0000, 0.5000, 0.0000)  2 B 2.54
B (0.0000, 0.0000, 0.0000)  4 Pd 2.05
Pd (0.0000, 0.0000, 0.5000)  2 B 2.05
Pd (0.5000, 0.0000, 0.0000)  2 B 2.05
W (0.5000, 0.5000, 0.5000)  4 Pb 2.90

Record 3
DFT (GGA-PBE) results for crystalline BeRh2Pb at its relaxed geometry.

Properties
Energy relative to the lowest polymorph listed for this composition, eV/atom: 0.0271
SG: R-3m, No. 166
E_form, eV per atom: -0.0796

Lattice parameters (Å, degrees): 6.6359 6.6359 6.6359 29.69 29.69 29.69
Last column: nearest neighbours and their distance in Å.
Element x y z (fractional)
Pb (0.7500, 0.7500, 0.7500)  6 Rh 2.84
Be (0.2500, 0.2500, 0.2500)  6 Rh 2.26
Rh (0.9751, 0.9751, 0.9751)  3 Be 2.26
Rh (0.5249, 0.5249, 0.5249)  3 Be 2.26

Record 4
DFT (GGA-PBE) results for crystalline AgPAu at its relaxed geometry.

Properties
Energy relative to the lowest polymorph listed for this composition, eV/atom: 0.1047
SG: Fmm2, No. 42
E_form, eV per atom: 0.2935

Lattice parameters (Å, degrees): 6.6069 6.5975 2.8679 77.64 77.27 25.09
Last column: nearest neighbours and their distance in Å.
Element x y z (fractional)
Ag (0.0042, 0.0042, 0.9958)  4 P 2.86-2.88, 4 Ag 2.87, 4 Au 2.98-3.00
Au (0.3297, 0.3297, 0.6703)  4 Au 2.87, 4 P 2.88-2.90, 4 Ag 2.98-3.00
P (0.6661, 0.6661, 0.3339)  4 Ag 2.86-2.88, 4 P 2.87, 4 Au 2.88-2.90